# Fe4Co3

A geometry-optimized Fe4Co3 structure (PBE-GGA, Alexandria via LeMat-Bulk).

POSCAR file:
```
Fe4Co3
1.0
-2.624 -5.532 0.726
2.816 2.570 4.860
-2.228 3.734 -4.377
Co Fe
3 4
Direct
0.295 0.153 0.582 Co
0.143 0.571 0.286 Co
0.991 0.990 0.989 Co
0.858 0.431 0.717 Fe
0.428 0.712 0.854 Fe
0.716 0.859 0.432 Fe
0.570 0.284 0.140 Fe
```

Computed properties:
**ΔE to the lowest computed polymorph**: 45 meV/atom
**Uncorrected energy**: -55.2 eV for the cell shown
**Space-group type**: P-1, No. 2